{"formula": "ZrSbPO2", "functional": "PBE", "state": "relaxed", "formation_energy_uncorrected_ev_per_atom": -1.35, "cell": [[4.078, 0.000, 0.000], [0.000, 4.078, 0.000], [0.000, 0.000, 5.511]], "species": ["Zr", "Sb", "P", "O", "O"], "fractional_positions": [[0.000, 0.000, 0.000], [0.500, 0.500, 0.500], [0.000, 0.000, 0.500], [0.000, 0.500, 0.000], [0.500, 0.000, 0.000]]}



{"formula": "Re5Pt", "functional": "PBE", "state": "relaxed", "cell": [[5.052, 0.000, 0.000], [-2.526, 4.375, 0.000], [0.000, 0.000, 4.574]], "species": ["Re", "Re", "Re", "Re", "Re", "Pt"], "fractional_positions": [[0.000, 0.500, 0.000], [0.333, 0.667, 0.500], [0.500, 0.000, 0.000], [0.500, 0.500, 0.000], [0.667, 0.333, 0.500], [0.000, 0.000, 0.500]]}



Number 1: E_tot -34.7 eV for the cell shown. Number 2: E_tot -64.5 eV for the cell shown.